An optimized crystal structure of TlPbCl2, computed with PBE-GGA.

The calculation puts the energy above the most stable polymorph in this dataset at 96.2 meV/atom. The total magnetization is 0.0 μB per formula unit. As for the uncorrected formation energy: -713 meV per atom.

```
TlPbCl2
1.0
5.918 -1.789 0.000
5.918 1.789 0.000
-0.875 0.000 5.542
Tl Pb Cl
1 1 2
Direct
0.000 0.000 0.000
0.265 0.265 0.527
0.495 0.495 0.479
0.739 0.739 0.054
```